A relaxed Rb2MnVO5 crystal, computed with GGA+U.

abc: 3.773 7.594 14.003
angles: 90.00 90.00 104.38
Each line ends with the local moment (μB).
Positions (direct):
O1 0.888 0.777 0.453  -0.01
O2 0.664 0.327 0.564  0.03
O3 0.685 0.370 0.044  -0.05
O4 0.336 0.673 0.064  0.03
O5 0.520 0.041 0.853  0.00
O6 0.480 0.959 0.353  0.00
O7 0.703 0.407 0.833  0.00
O8 0.112 0.223 0.953  -0.01
O9 0.315 0.630 0.544  -0.05
O10 0.297 0.593 0.333  0.00
Rb1 0.890 0.779 0.919  0.00
Rb2 0.110 0.220 0.698  0.00
Rb3 0.110 0.221 0.419  0.00
Rb4 0.890 0.780 0.198  0.00
Mn1 0.217 0.433 0.045  3.79
Mn2 0.783 0.567 0.545  3.79
V1 0.620 0.240 0.915  0.02
V2 0.380 0.760 0.415  0.02

## Properties
Symmetry   No. 36
E_tot   -56.92 eV per formula unit